# MgV4O10

A relaxed MgV4O10 crystal (PBE with a Hubbard U, the Alexandria database).

a = 3.554 Å, b = 4.819 Å, c = 11.521 Å
α = 90.00°, β = 90.00°, γ = 90.00°
Site moments in Bohr magnetons follow the coordinates.
Fractional coordinates of all 15 atoms:
Mg1 0.000 0.211 0.500  0.01
O1 0.000 0.054 0.849  0.00
V1 0.500 0.626 0.348  1.04
O2 0.000 0.468 0.673  -0.01
V2 0.500 0.626 0.652  1.04
O3 0.000 0.468 0.327  -0.01
O4 0.500 0.966 0.618  -0.09
O5 0.500 0.966 0.382  -0.09
O6 0.000 0.054 0.151  0.00
O7 0.500 0.448 0.500  0.01
V3 0.000 0.388 0.151  0.02
O8 0.500 0.513 0.179  -0.01
O9 0.500 0.513 0.821  -0.01
V4 0.000 0.388 0.849  0.02
O10 0.000 0.486 0.000  0.00

relative energy among the computed polymorphs	35	meV/atom
total DFT energy (no corrections)	-110.3	eV for the cell shown